Computed, not measured: Dy4GeBiTe2 after structural relaxation at the PBE-GGA level of DFT.

a b c (Å): 4.3307 7.5400 7.5640
angles (deg): 70.73 90.00 90.00
Sites, in units of the cell vectors:
Dy (0.0000, 0.7343, 0.7374)
Dy (0.0000, 0.2657, 0.2626)
Dy (0.5000, 0.7258, 0.2727)
Dy (0.5000, 0.2742, 0.7273)
Ge (0.0000, 0.5000, 0.5000)
Bi (0.5000, 0.5000, 0.0000)
Te (0.0000, 0.0000, 0.0000)
Te (0.5000, 0.0000, 0.5000)

Output
volume	29.1	Å³ per atom
DOS(E_F)	1.6	states/eV/cell
raw formation energy	-1.1524	eV per atom